Below is RbRhSe2 after structural relaxation, with properties calculated at the GGA-PBE level.

Calculated values
raw formation energy: -0.488 eV/atom

Cell lengths 3.9901, 7.3170, 7.1273 Å; angles 90.00, 101.79, 90.00 degrees
Closest atoms and distances in Å follow each position.
Space group P2_1/m (No. 11)
Unique sites:
Rb (0.1114, 0.2500, 0.1054) (multiplicity 2)  6 Se 3.37-3.72, 1 Rh 3.62
Rh (0.2185, 0.7500, 0.4077) (multiplicity 2)  6 Se 2.52-2.81
Se (0.3070, 0.0491, 0.6598) (multiplicity 4)  3 Rh 2.52-2.81

***

Below is ScTlRu after structural relaxation, with properties calculated at the GGA-PBE level.

Calculated values
formation enthalpy at 0 K: 0.44 eV/atom

Cell lengths 6.4439, 6.4439, 6.4439 Å; angles 90.00, 90.00, 90.00 degrees
Closest atoms and distances in Å follow each position.
Space group F-43m (No. 216)
Unique sites:
Sc (0.0000, 0.0000, 0.0000) (multiplicity 4)  4 Tl 2.79, 4 Ru 2.79
Tl (0.2500, 0.2500, 0.2500) (multiplicity 4)  4 Sc 2.79
Ru (0.2500, 0.2500, 0.7500) (multiplicity 4)  4 Sc 2.79